No. 1
NdCo4Sn2Ge4: relaxed, PBE-GGA.

Lattice parameters (Å, degrees): 6.3176 6.3176 6.3176 116.60 116.60 96.01
Last column: nearest neighbours and their distance in Å.
Positions (direct):
Nd  0.0000  0.0000  0.0000  8 Ge 3.08-3.43, 4 Co 3.27, 4 Sn 3.32
Co  0.2422  0.5670  0.0000  4 Ge 2.31-2.46
Co  0.4330  0.4330  0.6751  4 Ge 2.31-2.46
Co  0.5670  0.2422  0.0000  4 Ge 2.31-2.46
Co  0.7578  0.7578  0.3249  4 Ge 2.31-2.46
Sn  0.0000  0.5000  0.5000  4 Co 2.61
Sn  0.5000  0.0000  0.5000  4 Co 2.61
Ge  0.1247  0.1247  0.6403  4 Co 2.31-2.46
Ge  0.4844  0.4844  0.3597  4 Co 2.31-2.46
Ge  0.5156  0.8753  0.0000  4 Co 2.31-2.46
Ge  0.8753  0.5156  0.0000  4 Co 2.31-2.46

## Properties
Volume = 186.4 Å³ per cell
Symmetry = No. 121

No. 2
NdYCo2Ge4: relaxed, PBE-GGA.

Lattice parameters (Å, degrees): 4.1793 8.5785 8.5785 28.29 90.00 90.00
Last column: nearest neighbours and their distance in Å.
Positions (direct):
Nd  0.0000  0.0000  0.0000  10 Ge 3.14-3.31, 5 Co 3.20-3.50
Y  0.5000  0.2178  0.2178  10 Ge 3.12-3.31, 5 Co 3.19-3.47
Co  0.0000  0.7894  0.7894  5 Ge 2.25-2.38
Co  0.5000  0.4263  0.4263  5 Ge 2.29-2.39
Ge  0.0000  0.3577  0.3577  4 Co 2.38
Ge  0.0000  0.6542  0.6542  1 Co 2.25
Ge  0.5000  0.5638  0.5638  1 Co 2.29
Ge  0.5000  0.8568  0.8568  4 Co 2.37-2.39

## Properties
Volume = 145.8 Å³ per cell
Symmetry = No. 38

No. 3
Co2NiGe: relaxed, PBE-GGA.

Lattice parameters (Å, degrees): 4.0235 4.0235 4.0235 60.00 60.00 60.00
Last column: nearest neighbours and their distance in Å.
Positions (direct):
Co  0.0000  0.0000  0.0000  4 Ni 2.46, 4 Co 2.46
Co  0.2500  0.2500  0.2500  4 Ge 2.46, 4 Co 2.46
Ni  0.7500  0.7500  0.7500  4 Ge 2.46, 4 Co 2.46
Ge  0.5000  0.5000  0.5000  4 Ni 2.46, 4 Co 2.46

## Properties
Volume = 46.1 Å³ per cell
Symmetry = No. 216

No. 4
CoNiGe: relaxed, PBE-GGA.

Lattice parameters (Å, degrees): 3.8442 3.8442 3.8442 60.00 60.00 60.00
Last column: nearest neighbours and their distance in Å.
Positions (direct):
Co  0.0000  0.0000  0.0000  4 Ge 2.35
Ni  0.5000  0.5000  0.5000  4 Ge 2.35
Ge  0.2500  0.2500  0.2500  4 Co 2.35, 4 Ni 2.35

## Properties
Volume = 40.2 Å³ per cell
Symmetry = No. 216

no.,DFT total energy (eV/atom)
1,-5.78
2,-6.14
3,-6.16
4,-5.85